## P
LiMo2Os | GGA-PBEsol | relaxed

abc: 6.0626 6.0626 6.0626
angles: 90.00 90.00 90.00
Space group F-43m (No. 216)
Asymmetric unit:
Li1 0.0000 0.0000 0.0000
Mo1 0.0000 0.0000 0.5000
Mo2 0.2500 0.2500 0.2500
Os1 0.2500 0.2500 0.7500

***

## Q
LiMo2Os | GGA-PBEsol | relaxed

abc: 6.0853 6.0853 6.0853
angles: 90.00 90.00 90.00
Space group Fm-3m (No. 225)
Asymmetric unit:
Li1 0.0000 0.0000 0.0000
Mo1 0.2500 0.2500 0.2500
Os1 0.0000 0.0000 0.5000

***

## R
LiMo2Os | GGA-PBEsol | relaxed

abc: 3.8545 3.8545 3.7611
angles: 90.00 90.00 90.00
Space group P4/mmm (No. 123)
Asymmetric unit:
Li1 0.0000 0.0000 0.0000
Mo1 0.0000 0.5000 0.5000
Os1 0.5000 0.5000 0.0000

***

Q: Which of them is the most stable? A: P.

***

## P
LiMoP2 | GGA-PBEsol | relaxed

abc: 4.0040 3.1423 8.6309
angles: 90.00 90.00 90.00
Space group Amm2 (No. 38)
Asymmetric unit:
Li1 0.0000 0.0000 0.0000
Mo1 0.5000 0.0000 0.2631
P1 0.0000 0.0000 0.7253
P2 0.5000 0.0000 0.5493

***

## Q
LiMoP2 | GGA-PBEsol | relaxed

abc: 5.9039 5.9039 5.9039
angles: 90.00 90.00 90.00
Space group F-43m (No. 216)
Asymmetric unit:
Li1 0.0000 0.0000 0.0000
Mo1 0.2500 0.2500 0.2500
P1 0.0000 0.0000 0.5000
P2 0.2500 0.2500 0.7500

***

Q: Which of them is the most stable? A: P.

***

## P
LiMoPb | GGA-PBEsol | relaxed

abc: 6.4641 6.4641 6.4641
angles: 90.00 90.00 90.00
Space group F-43m (No. 216)
Asymmetric unit:
Li1 0.0000 0.0000 0.0000
Mo1 0.2500 0.2500 0.2500
Pb1 0.0000 0.0000 0.5000

***

## Q
LiMoPb | GGA-PBEsol | relaxed

abc: 4.5266 4.5266 2.9035
angles: 90.00 90.00 120.00
Space group P-6m2 (No. 187)
Asymmetric unit:
Li1 0.0000 0.0000 0.0000
Mo1 0.3333 0.6667 0.5000
Pb1 0.6667 0.3333 0.0000

***

Q: Which of them is the most stable? A: Q.

***

## P
LiReMo | GGA-PBEsol | relaxed

abc: 2.9702 4.3064 13.9746
angles: 90.00 90.00 90.00
Space group Fmm2 (No. 42)
Asymmetric unit:
Li1 0.0000 0.0000 0.0000
Re1 0.0000 0.0000 0.3359
Mo1 0.0000 0.0000 0.6761

***

## Q
LiReMo | GGA-PBEsol | relaxed

abc: 2.6994 2.6994 7.1527
angles: 90.00 90.00 120.00
Space group P3m1 (No. 156)
Asymmetric unit:
Li1 0.0000 0.0000 0.0000
Re1 0.6667 0.3333 0.3295
Mo1 0.3333 0.6667 0.6476

***

Q: Which of them is the most stable? A: P.